*w*
First-principles (PBE) data for an optimized crystal structure of TmSc2In2, as listed in the Alexandria database.

Summary:
- crystal system = monoclinic
- DOS(E_F) (states/eV/f.u.) = 4.4
- space-group type = No. 11

a = 3.6069 Å, b = 5.1293 Å, c = 13.2174 Å
α = 90.00°, β = 97.85°, γ = 90.00°
Positions (direct):
Tm 0.1494 0.2500 0.2993
Tm 0.8506 0.7500 0.7007
Sc 0.0499 0.7500 0.1001
Sc 0.2404 0.7500 0.4812
Sc 0.7596 0.2500 0.5188
Sc 0.9501 0.2500 0.8999
In 0.3527 0.2500 0.7051
In 0.4534 0.7500 0.9067
In 0.5466 0.2500 0.0933
In 0.6473 0.7500 0.2949

*x*
First-principles (PBE) data for an optimized crystal structure of TmSc2In2, as listed in the Alexandria database.

Summary:
- crystal system = trigonal
- DOS(E_F) (states/eV/f.u.) = 6.4
- space-group type = No. 164

a = 5.0205 Å, b = 5.0205 Å, c = 6.1944 Å
α = 90.00°, β = 90.00°, γ = 120.00°
Positions (direct):
Tm 0.0000 0.0000 0.0000
Sc 0.3333 0.6667 0.6588
Sc 0.6667 0.3333 0.3412
In 0.3333 0.6667 0.1891
In 0.6667 0.3333 0.8109

Which of them is least stable? Easy: *x*.

*w*
First-principles (PBE) data for an optimized crystal structure of TmScZnIn, as listed in the Alexandria database.

Summary:
- crystal system = tetragonal
- DOS(E_F) (states/eV/f.u.) = 3.0
- space-group type = No. 99

a = 3.5134 Å, b = 3.5134 Å, c = 7.1536 Å
α = 90.00°, β = 90.00°, γ = 90.00°
Positions (direct):
Tm 0.0000 0.0000 0.0000
Sc 0.0000 0.0000 0.5408
Zn 0.5000 0.5000 0.7528
In 0.5000 0.5000 0.2850

*x*
First-principles (PBE) data for an optimized crystal structure of TmScZnIn, as listed in the Alexandria database.

Summary:
- crystal system = cubic
- DOS(E_F) (states/eV/f.u.) = 3.7
- space-group type = No. 216

a = 5.0151 Å, b = 5.0151 Å, c = 5.0151 Å
α = 60.00°, β = 60.00°, γ = 60.00°
Positions (direct):
Tm 0.0000 0.0000 0.0000
Sc 0.5000 0.5000 0.5000
Zn 0.7500 0.7500 0.7500
In 0.2500 0.2500 0.2500

Which of them is least stable? Easy: *x*.

*w*
First-principles (PBE) data for an optimized crystal structure of Sc2UIn, as listed in the Alexandria database.

Summary:
- crystal system = cubic
- DOS(E_F) (states/eV/f.u.) = 10.6
- space-group type = No. 225

a = 5.0861 Å, b = 5.0861 Å, c = 5.0861 Å
α = 60.00°, β = 60.00°, γ = 60.00°
Positions (direct):
Sc 0.2500 0.2500 0.2500
Sc 0.7500 0.7500 0.7500
U 0.0000 0.0000 0.0000
In 0.5000 0.5000 0.5000

*x*
First-principles (PBE) data for an optimized crystal structure of Sc2UIn, as listed in the Alexandria database.

Summary:
- crystal system = tetragonal
- DOS(E_F) (states/eV/f.u.) = 4.1
- space-group type = No. 123

a = 3.1690 Å, b = 3.1690 Å, c = 9.0352 Å
α = 90.00°, β = 90.00°, γ = 90.00°
Positions (direct):
Sc 0.0000 0.0000 0.2427
Sc 0.0000 0.0000 0.7573
U 0.5000 0.5000 0.5000
In 0.5000 0.5000 0.0000

Which of them is least stable? Easy: *w*.

*w*
First-principles (PBE) data for an optimized crystal structure of Sc2VIn2, as listed in the Alexandria database.

Summary:
- crystal system = tetragonal
- DOS(E_F) (states/eV/f.u.) = 5.3
- space-group type = No. 139

a = 8.3097 Å, b = 8.3097 Å, c = 8.3097 Å
α = 152.32°, β = 152.32°, γ = 39.55°
Positions (direct):
Sc 0.0937 0.0937 0.0000
Sc 0.9063 0.9063 0.0000
V 0.5000 0.5000 0.0000
In 0.2500 0.7500 0.5000
In 0.7500 0.2500 0.5000

*x*
First-principles (PBE) data for an optimized crystal structure of Sc2VIn2, as listed in the Alexandria database.

Summary:
- crystal system = tetragonal
- DOS(E_F) (states/eV/f.u.) = 4.9
- space-group type = No. 127

a = 7.2379 Å, b = 7.2379 Å, c = 4.3525 Å
α = 90.00°, β = 90.00°, γ = 90.00°
Positions (direct):
Sc 0.1532 0.3468 0.0000
Sc 0.3468 0.8468 0.0000
Sc 0.6532 0.1532 0.0000
Sc 0.8468 0.6532 0.0000
V 0.0000 0.0000 0.0000
V 0.5000 0.5000 0.0000
In 0.1552 0.6552 0.5000
In 0.3448 0.1552 0.5000
In 0.6552 0.8448 0.5000
In 0.8448 0.3448 0.5000

*y*
First-principles (PBE) data for an optimized crystal structure of Sc2VIn2, as listed in the Alexandria database.

Summary:
- crystal system = tetragonal
- DOS(E_F) (states/eV/f.u.) = 4.2
- space-group type = No. 127

a = 7.5499 Å, b = 7.5499 Å, c = 3.9303 Å
α = 90.00°, β = 90.00°, γ = 90.00°
Positions (direct):
Sc 0.1702 0.3298 0.0000
Sc 0.3298 0.8298 0.0000
Sc 0.6702 0.1702 0.0000
Sc 0.8298 0.6702 0.0000
V 0.0000 0.0000 0.5000
V 0.5000 0.5000 0.5000
In 0.1350 0.6350 0.5000
In 0.3650 0.1350 0.5000
In 0.6350 0.8650 0.5000
In 0.8650 0.3650 0.5000

Which of them is least stable? Easy: *w*.

*w*
First-principles (PBE) data for an optimized crystal structure of ScVIn2, as listed in the Alexandria database.

Summary:
- crystal system = tetragonal
- DOS(E_F) (states/eV/f.u.) = 3.2
- space-group type = No. 123

a = 4.3391 Å, b = 4.3391 Å, c = 4.3664 Å
α = 90.00°, β = 90.00°, γ = 90.00°
Positions (direct):
Sc 0.0000 0.0000 0.0000
V 0.5000 0.5000 0.0000
In 0.0000 0.5000 0.5000
In 0.5000 0.0000 0.5000

*x*
First-principles (PBE) data for an optimized crystal structure of ScVIn2, as listed in the Alexandria database.

Summary:
- crystal system = tetragonal
- DOS(E_F) (states/eV/f.u.) = 3.7
- space-group type = No. 122

a = 10.7819 Å, b = 10.7819 Å, c = 10.7819 Å
α = 157.15°, β = 157.15°, γ = 32.54°
Positions (direct):
Sc 0.0000 0.0000 0.0000
Sc 0.7500 0.2500 0.5000
V 0.2500 0.7500 0.5000
V 0.5000 0.5000 0.0000
In 0.1327 0.6250 0.0077
In 0.3750 0.3827 0.5077
In 0.6173 0.1250 0.9923
In 0.8750 0.8673 0.4923

Which of them is least stable? Easy: *x*.

*w*
First-principles (PBE) data for an optimized crystal structure of Sc3VIn, as listed in the Alexandria database.

Summary:
- crystal system = cubic
- DOS(E_F) (states/eV/f.u.) = 7.3
- space-group type = No. 221

a = 4.9267 Å, b = 4.9267 Å, c = 4.9267 Å
α = 90.00°, β = 90.00°, γ = 90.00°
Positions (direct):
Sc 0.0000 0.0000 0.5000
Sc 0.0000 0.5000 0.0000
Sc 0.5000 0.0000 0.0000
V 0.0000 0.0000 0.0000
In 0.5000 0.5000 0.5000

*x*
First-principles (PBE) data for an optimized crystal structure of Sc3VIn, as listed in the Alexandria database.

Summary:
- crystal system = cubic
- DOS(E_F) (states/eV/f.u.) = 7.4
- space-group type = No. 221

a = 5.3197 Å, b = 5.3197 Å, c = 5.3197 Å
α = 90.00°, β = 90.00°, γ = 90.00°
Positions (direct):
Sc 0.0000 0.0000 0.5000
Sc 0.0000 0.5000 0.0000
Sc 0.5000 0.0000 0.0000
V 0.5000 0.5000 0.5000
In 0.0000 0.0000 0.0000

Which of them is least stable? Easy: *x*.

*w*
First-principles (PBE) data for an optimized crystal structure of ScIn2W, as listed in the Alexandria database.

Summary:
- crystal system = trigonal
- DOS(E_F) (states/eV/f.u.) = 3.0
- space-group type = No. 166

a = 10.1136 Å, b = 10.1136 Å, c = 10.1136 Å
α = 17.58°, β = 17.58°, γ = 17.58°
Positions (direct):
Sc 0.0000 0.0000 0.0000
In 0.2460 0.2460 0.2460
In 0.7540 0.7540 0.7540
W 0.5000 0.5000 0.5000

*x*
First-principles (PBE) data for an optimized crystal structure of ScIn2W, as listed in the Alexandria database.

Summary:
- crystal system = tetragonal
- DOS(E_F) (states/eV/f.u.) = 3.4
- space-group type = No. 123

a = 3.0162 Å, b = 3.0162 Å, c = 8.8389 Å
α = 90.00°, β = 90.00°, γ = 90.00°
Positions (direct):
Sc 0.0000 0.0000 0.0000
In 0.5000 0.5000 0.2633
In 0.5000 0.5000 0.7367
W 0.0000 0.0000 0.5000

Which of them is least stable? Easy: *w*.

*w*
First-principles (PBE) data for an optimized crystal structure of ScIn2W, as listed in the Alexandria database.

Summary:
- crystal system = orthorhombic
- DOS(E_F) (states/eV/f.u.) = 3.0
- space-group type = No. 35

a = 3.0599 Å, b = 3.0599 Å, c = 9.3114 Å
α = 90.00°, β = 90.00°, γ = 105.20°
Positions (direct):
Sc 0.0000 0.0000 0.0000
In 0.0000 0.0000 0.5422
In 0.5000 0.5000 0.2689
W 0.5000 0.5000 0.7759

*x*
First-principles (PBE) data for an optimized crystal structure of ScIn2W, as listed in the Alexandria database.

Summary:
- crystal system = monoclinic
- DOS(E_F) (states/eV/f.u.) = 1.8
- space-group type = No. 12

a = 5.1798 Å, b = 5.1798 Å, c = 5.4930 Å
α = 98.65°, β = 98.65°, γ = 34.12°
Positions (direct):
Sc 0.0000 0.0000 0.0000
In 0.2441 0.2441 0.7363
In 0.7559 0.7559 0.2637
W 0.5000 0.5000 0.5000

*y*
First-principles (PBE) data for an optimized crystal structure of ScIn2W, as listed in the Alexandria database.

Summary:
- crystal system = tetragonal
- DOS(E_F) (states/eV/f.u.) = 4.9
- space-group type = No. 122

a = 10.7028 Å, b = 10.7028 Å, c = 10.7028 Å
α = 157.50°, β = 157.50°, γ = 32.03°
Positions (direct):
Sc 0.0000 0.0000 0.0000
Sc 0.7500 0.2500 0.5000
In 0.1416 0.6250 0.0166
In 0.3750 0.3916 0.5166
In 0.6084 0.1250 0.9834
In 0.8750 0.8584 0.4834
W 0.2500 0.7500 0.5000
W 0.5000 0.5000 0.0000

Which of them is least stable? Easy: *y*.